A plane-wave DFT calculation with PBE-GGA was carried out for crystalline Rb2ZrSiBr6 at its relaxed geometry.

Unit cell a=8.219 b=8.219 c=7.903 alpha=58.67 beta=58.67 gamma=90.00
Each line ends with the local moment (μB).
Sites, in units of the cell vectors:
Br (0.766, 0.766, 0.000)  0.01
Br (0.252, 0.252, 0.495)  -0.01
Br (0.766, 0.234, 0.000)  0.02
Br (0.748, 0.748, 0.505)  -0.01
Br (0.234, 0.766, 0.000)  0.02
Br (0.234, 0.234, 0.000)  0.01
Rb (0.250, 0.750, 0.500)  0.00
Rb (0.750, 0.250, 0.500)  0.00
Zr (0.000, 0.000, 0.000)  0.77
Si (0.500, 0.500, 0.000)  0.27

Values from the calculation:
**Formation energy without anion corrections**: -1.03 eV per atom
**DFT total energy**: -36.3 eV/cell

***

A plane-wave DFT calculation with PBE-GGA was carried out for crystalline Ac2SnBi at its relaxed geometry.

Unit cell a=4.387 b=4.387 c=7.307 alpha=90.00 beta=90.00 gamma=90.00
Sites, in units of the cell vectors:
Bi (0.500, 0.500, 0.500)
Sn (0.500, 0.500, 0.000)
Ac (0.000, 0.000, 0.754)
Ac (0.000, 0.000, 0.246)

Values from the calculation:
**DFT total energy**: -18.9 eV/cell

***

A plane-wave DFT calculation with PBE-GGA was carried out for crystalline La3YAg at its relaxed geometry.

Unit cell a=7.532 b=9.581 c=9.581 alpha=99.69 beta=95.61 gamma=95.61
Sites, in units of the cell vectors:
La (0.561, 0.346, 0.008)
La (0.645, 0.567, 0.686)
La (0.061, 0.008, 0.346)
La (0.855, 0.314, 0.433)
La (0.145, 0.686, 0.567)
La (0.549, 0.937, 0.812)
La (0.439, 0.654, 0.992)
La (0.939, 0.992, 0.654)
La (0.355, 0.433, 0.314)
La (0.451, 0.063, 0.188)
La (0.951, 0.188, 0.063)
La (0.049, 0.812, 0.937)
Ag (0.750, 0.255, 0.745)
Ag (0.250, 0.745, 0.255)
Ag (0.250, 0.125, 0.875)
Ag (0.750, 0.875, 0.125)
Y (0.888, 0.588, 0.198)
Y (0.112, 0.412, 0.802)
Y (0.388, 0.198, 0.588)
Y (0.612, 0.802, 0.412)

Values from the calculation:
**DFT total energy**: -95.2 eV/cell

***

A plane-wave DFT calculation with PBE-GGA was carried out for crystalline CsPaAg2S4 at its relaxed geometry.

Unit cell a=6.716 b=6.978 c=6.978 alpha=70.45 beta=61.23 gamma=61.23
Sites, in units of the cell vectors:
Cs (0.000, 0.000, 0.000)
S (0.456, 0.154, 0.511)
S (0.121, 0.846, 0.489)
S (0.544, 0.489, 0.846)
S (0.879, 0.511, 0.154)
Ag (0.842, 0.658, 0.658)
Ag (0.158, 0.342, 0.342)
Pa (0.500, 0.500, 0.500)

Values from the calculation:
**Formation energy without anion corrections**: -0.84 eV per atom
**DFT total energy**: -39.3 eV/cell

***

A plane-wave DFT calculation with PBE-GGA was carried out for crystalline Sr2PmTl9 at its relaxed geometry.

Unit cell a=4.933 b=4.933 c=14.785 alpha=90.00 beta=90.00 gamma=90.00
Sites, in units of the cell vectors:
Tl (0.500, 0.000, 0.840)
Tl (0.500, 0.500, 0.335)
Tl (0.500, 0.000, 0.500)
Tl (0.000, 0.500, 0.160)
Tl (0.000, 0.500, 0.500)
Tl (0.500, 0.500, 0.000)
Tl (0.500, 0.000, 0.160)
Tl (0.500, 0.500, 0.665)
Tl (0.000, 0.500, 0.840)
Pm (0.000, 0.000, 0.000)
Sr (0.000, 0.000, 0.672)
Sr (0.000, 0.000, 0.328)

Values from the calculation:
**DFT total energy**: -32.6 eV/cell

***

A plane-wave DFT calculation with PBE-GGA was carried out for crystalline TaSi2S6 at its relaxed geometry.

Unit cell a=6.189 b=8.011 c=8.011 alpha=84.72 beta=81.31 gamma=81.31
Each line ends with the local moment (μB).
Sites, in units of the cell vectors:
S (0.624, 0.965, 0.813)  0.00
S (0.379, 0.710, 0.554)  0.01
S (0.876, 0.187, 0.035)  0.00
S (0.376, 0.035, 0.187)  0.00
S (0.857, 0.877, 0.393)  -0.01
S (0.124, 0.813, 0.965)  0.00
S (0.357, 0.393, 0.877)  -0.01
S (0.143, 0.123, 0.607)  -0.01
S (0.121, 0.446, 0.290)  0.01
S (0.879, 0.554, 0.710)  0.01
S (0.643, 0.607, 0.123)  -0.01
S (0.621, 0.290, 0.446)  0.01
Ta (0.250, 0.125, 0.875)  0.57
Ta (0.750, 0.875, 0.125)  0.57
Si (0.174, 0.624, 0.777)  0.04
Si (0.326, 0.223, 0.376)  0.04
Si (0.826, 0.376, 0.223)  0.04
Si (0.674, 0.777, 0.624)  0.04

Values from the calculation:
**Formation energy without anion corrections**: -0.59 eV per atom
**DFT total energy**: -105.6 eV/cell

***

A plane-wave DFT calculation with PBE-GGA was carried out for crystalline Ac6Ir3F at its relaxed geometry.

Unit cell a=7.280 b=9.565 c=9.565 alpha=102.76 beta=90.00 gamma=90.00
Sites, in units of the cell vectors:
Ac (0.683, 0.303, 0.366)
Ac (0.705, 0.556, 0.111)
Ac (0.154, 0.781, 0.219)
Ac (0.183, 0.697, 0.634)
Ac (0.205, 0.444, 0.889)
Ac (0.683, 0.634, 0.697)
Ac (0.183, 0.366, 0.303)
Ac (0.690, 0.957, 0.043)
Ac (0.205, 0.111, 0.556)
Ac (0.654, 0.219, 0.781)
Ac (0.705, 0.889, 0.444)
Ac (0.190, 0.043, 0.957)
Ir (0.465, 0.286, 0.067)
Ir (0.965, 0.714, 0.933)
Ir (0.965, 0.067, 0.286)
Ir (0.403, 0.392, 0.608)
Ir (0.465, 0.933, 0.714)
Ir (0.903, 0.608, 0.392)
F (0.531, 0.798, 0.202)
F (0.031, 0.202, 0.798)

Values from the calculation:
**Formation energy without anion corrections**: -0.99 eV per atom
**DFT total energy**: -126.1 eV/cell

***

A plane-wave DFT calculation with PBE-GGA was carried out for crystalline PaHAu at its relaxed geometry.

Unit cell a=3.168 b=3.168 c=5.568 alpha=106.53 beta=106.53 gamma=90.00
Each line ends with the local moment (μB).
Sites, in units of the cell vectors:
Au (0.004, 0.004, 0.009)  0.00
Pa (0.712, 0.712, 0.423)  0.48
H (0.284, 0.284, 0.568)  0.00

Values from the calculation:
**DFT total energy**: -16.2 eV/cell

***

A plane-wave DFT calculation with PBE-GGA was carried out for crystalline TcSbOs2 at its relaxed geometry.

Unit cell a=8.927 b=8.927 c=8.927 alpha=18.79 beta=18.79 gamma=18.79
Sites, in units of the cell vectors:
Os (0.003, 0.003, 0.003)
Os (0.497, 0.497, 0.497)
Tc (0.750, 0.750, 0.750)
Sb (0.250, 0.250, 0.250)

Values from the calculation:
**Formation energy without anion corrections**: 0.54 eV per atom
**DFT total energy**: -34.8 eV/cell

***

A plane-wave DFT calculation with PBE-GGA was carried out for crystalline SmY2Pt9 at its relaxed geometry.

Unit cell a=5.429 b=5.429 c=9.389 alpha=73.20 beta=73.20 gamma=60.00
Sites, in units of the cell vectors:
Pt (0.500, 0.500, 0.500)
Pt (0.081, 0.588, 0.744)
Pt (0.412, 0.919, 0.256)
Pt (0.919, 0.412, 0.256)
Pt (0.667, 0.667, 0.000)
Pt (0.333, 0.333, 0.000)
Pt (0.588, 0.588, 0.744)
Pt (0.412, 0.412, 0.256)
Pt (0.588, 0.081, 0.744)
Y (0.140, 0.140, 0.581)
Y (0.860, 0.860, 0.419)
Sm (0.000, 0.000, 0.000)

Values from the calculation:
**DFT total energy**: -83.4 eV/cell

***

A plane-wave DFT calculation with PBE-GGA was carried out for crystalline SmCu4Si2 at its relaxed geometry.

Unit cell a=4.064 b=4.064 c=7.933 alpha=75.16 beta=75.16 gamma=60.00
Sites, in units of the cell vectors:
Cu (0.140, 0.140, 0.579)
Cu (0.860, 0.860, 0.421)
Cu (0.433, 0.433, 0.701)
Cu (0.567, 0.567, 0.299)
Si (0.753, 0.753, 0.741)
Si (0.247, 0.247, 0.259)
Sm (0.000, 0.000, 0.000)

Values from the calculation:
**Formation energy without anion corrections**: -0.35 eV per atom
**DFT total energy**: -34.4 eV/cell

***

A plane-wave DFT calculation with PBE-GGA was carried out for crystalline Dy4Sb3N at its relaxed geometry.

Unit cell a=6.166 b=8.534 c=9.616 alpha=90.00 beta=90.00 gamma=90.00
Sites, in units of the cell vectors:
Sb (0.559, 0.338, 0.269)
Sb (0.059, 0.157, 0.500)
Sb (0.559, 0.338, 0.731)
Sb (0.559, 0.843, 0.000)
Sb (0.059, 0.662, 0.769)
Sb (0.059, 0.662, 0.231)
N (0.997, 0.178, 0.000)
N (0.497, 0.822, 0.500)
Dy (0.569, 0.091, 0.500)
Dy (0.070, 0.306, 0.793)
Dy (0.633, 0.182, 0.000)
Dy (0.570, 0.694, 0.707)
Dy (0.069, 0.909, 0.000)
Dy (0.570, 0.694, 0.293)
Dy (0.133, 0.818, 0.500)
Dy (0.070, 0.306, 0.207)

Values from the calculation:
**Formation energy without anion corrections**: -0.97 eV per atom
**DFT total energy**: -93.7 eV/cell